[1]
# PBE BeNiSb2, relaxed
data_BeNiSb2
_chemical_formula_sum 'Be4 Ni4 Sb8'
_cell_length_a 6.726
_cell_length_b 6.726
_cell_length_c 6.726
_cell_angle_alpha 90.00
_cell_angle_beta 90.00
_cell_angle_gamma 90.00
_space_group_name_H-M_alt 'F -4 3 m'
_space_group_IT_number 216
_space_group_name_Hall 'F -4 2 3'
loop_
_atom_site_label
_atom_site_fract_x
_atom_site_fract_y
_atom_site_fract_z
Be1 0.000 0.000 0.000
Ni1 0.250 0.250 0.750
Sb1 0.000 0.000 0.500
Sb2 0.250 0.250 0.250
# total magnetic moment: 0.000 μB/atom
# calculated total energy: -3.681 eV/atom

[2]
# PBE BeNiSb, relaxed
data_BeNiSb
_chemical_formula_sum 'Be4 Ni4 Sb4'
_cell_length_a 5.673
_cell_length_b 5.673
_cell_length_c 5.673
_cell_angle_alpha 90.00
_cell_angle_beta 90.00
_cell_angle_gamma 90.00
_space_group_name_H-M_alt 'F -4 3 m'
_space_group_IT_number 216
_space_group_name_Hall 'F -4 2 3'
loop_
_atom_site_label
_atom_site_fract_x
_atom_site_fract_y
_atom_site_fract_z
Be1 0.000 0.000 0.000
Ni1 0.250 0.250 0.250
Sb1 0.000 0.000 0.500
# total magnetic moment: 0.000 μB/atom
# relative energy among the computed polymorphs: 0 meV per atom

[3]
# PBE BeNiSb, relaxed
data_BeNiSb
_chemical_formula_sum 'Be4 Ni4 Sb4'
_cell_length_a 5.819
_cell_length_b 5.819
_cell_length_c 5.819
_cell_angle_alpha 90.00
_cell_angle_beta 90.00
_cell_angle_gamma 90.00
_space_group_name_H-M_alt 'F -4 3 m'
_space_group_IT_number 216
_space_group_name_Hall 'F -4 2 3'
loop_
_atom_site_label
_atom_site_fract_x
_atom_site_fract_y
_atom_site_fract_z
Be1 0.000 0.000 0.000
Ni1 0.000 0.000 0.500
Sb1 0.250 0.250 0.250
# total magnetic moment: 0.005 μB/atom
# relative energy among the computed polymorphs: 340 meV per atom